Entry 1:
{"formula": "LaPr3Er2Te6", "functional": "PBE-GGA", "state": "optimized geometry", "cell": [[7.712, -0.018, -0.003], [-3.870, 6.671, -0.003], [-1.285, -2.225, 7.380]], "species": ["Te", "Te", "Te", "Te", "Te", "Te", "Pr", "Pr", "Pr", "Er", "Er", "La"], "frac_coords": [[0.081, 0.428, 0.242], [0.572, 0.919, 0.758], [0.729, 0.729, 0.231], [0.428, 0.081, 0.242], [0.271, 0.271, 0.769], [0.919, 0.572, 0.758], [0.844, 0.156, 0.500], [0.500, 0.500, 0.500], [0.156, 0.844, 0.500], [0.668, 0.332, 0.000], [0.332, 0.668, 0.000], [0.000, 0.000, 0.000]], "vol_a3_per_atom": 31.59, "e_tot_ha_per_atom": -0.196, "spacegroup": "C2/m (12)", "magmom_total_mub_per_cell": 0.00, "mass_density_g_cm3": 7.28, "e_form_raw_ev_per_atom": -1.394}

=====

Entry 2:
{"formula": "LaPr2Er3Te6", "functional": "PBE-GGA", "state": "optimized geometry", "cell": [[-2.814, 0.487, 3.302], [-0.665, -8.965, 0.757], [8.753, 2.387, 4.221]], "species": ["Pr", "Pr", "Er", "Er", "Er", "Te", "Te", "Te", "Te", "Te", "Te", "La"], "frac_coords": [[0.168, 0.337, 0.337], [0.832, 0.663, 0.663], [0.833, 0.166, 0.666], [0.167, 0.834, 0.334], [0.500, 0.500, 0.000], [0.997, 0.262, 0.993], [0.338, 0.405, 0.676], [0.671, 0.075, 0.342], [0.329, 0.925, 0.658], [0.662, 0.595, 0.324], [0.003, 0.738, 0.007], [0.500, 0.000, 0.000]], "vol_a3_per_atom": 30.83, "e_tot_ha_per_atom": -0.194, "spacegroup": "C2/m (12)", "magmom_total_mub_per_cell": 0.00, "mass_density_g_cm3": 7.58, "e_form_raw_ev_per_atom": -1.362}

=====

Entry 3:
{"formula": "La4PrEr3Te8", "functional": "PBE-GGA", "state": "optimized geometry", "cell": [[8.924, 0.000, 0.000], [0.000, 8.991, 0.042], [-4.462, -4.457, 6.313]], "species": ["Te", "Te", "Te", "Te", "Te", "Te", "Te", "Te", "Er", "Er", "Er", "La", "La", "La", "La", "Pr"], "frac_coords": [[0.257, 0.271, 0.514], [0.751, 0.265, 0.501], [0.249, 0.735, 0.986], [0.737, 0.735, 0.986], [0.249, 0.735, 0.499], [0.751, 0.265, 0.014], [0.263, 0.265, 0.014], [0.743, 0.729, 0.486], [0.000, 0.500, 0.500], [0.500, 0.500, 0.500], [0.500, 0.500, 0.000], [0.500, 0.000, 0.000], [0.000, 0.000, 0.000], [0.500, 0.000, 0.500], [0.000, 0.000, 0.500], [0.000, 0.500, 0.000]], "vol_a3_per_atom": 31.76, "e_tot_ha_per_atom": -0.198, "spacegroup": "R-3m (166)", "magmom_total_mub_per_cell": 0.00, "mass_density_g_cm3": 7.25, "e_form_raw_ev_per_atom": -1.432}

=====

Entry 4:
{"formula": "La4Pr3ErTe8", "functional": "PBE-GGA", "state": "optimized geometry", "cell": [[-1.764, 4.994, -7.393], [-8.820, -0.213, 1.960], [5.974, 2.966, 6.172]], "species": ["La", "La", "La", "La", "Te", "Te", "Te", "Te", "Te", "Te", "Te", "Te", "Pr", "Pr", "Pr", "Er"], "frac_coords": [[0.000, 0.000, 0.000], [0.000, 0.000, 0.500], [0.500, 0.000, 0.500], [0.500, 0.000, 0.000], [0.243, 0.741, 0.486], [0.251, 0.252, 0.501], [0.244, 0.259, 0.001], [0.757, 0.259, 0.001], [0.756, 0.741, 0.999], [0.757, 0.259, 0.514], [0.243, 0.741, 0.999], [0.749, 0.748, 0.499], [0.500, 0.500, 0.500], [0.500, 0.500, 0.000], [0.000, 0.500, 0.500], [0.000, 0.500, 0.000]], "vol_a3_per_atom": 32.93, "e_tot_ha_per_atom": -0.201, "spacegroup": "R-3m (166)", "magmom_total_mub_per_cell": 0.00, "mass_density_g_cm3": 6.83, "e_form_raw_ev_per_atom": -1.487}

=====

Entry 5:
{"formula": "La3Pr3ErTe8", "functional": "PBE-GGA", "state": "optimized geometry", "cell": [[9.050, 0.000, 0.000], [-4.525, 7.836, -0.028], [0.000, -5.199, 7.454]], "species": ["Te", "Te", "Te", "Te", "Te", "Te", "Te", "Te", "Pr", "Pr", "Pr", "La", "La", "La", "Er"], "frac_coords": [[0.251, 0.501, 0.252], [0.244, 0.489, 0.743], [0.244, 0.999, 0.743], [0.756, 0.511, 0.257], [0.749, 0.499, 0.748], [0.246, 0.001, 0.257], [0.754, 0.999, 0.743], [0.756, 0.001, 0.257], [0.000, 0.500, 0.500], [0.500, 0.000, 0.500], [0.500, 0.500, 0.500], [0.500, 0.500, 0.000], [0.000, 0.000, 0.000], [0.000, 0.500, 0.000], [0.000, 0.000, 0.500]], "vol_a3_per_atom": 35.15, "e_tot_ha_per_atom": -0.200, "spacegroup": "R-3m (166)", "magmom_total_mub_per_cell": 0.00, "mass_density_g_cm3": 6.39, "e_form_raw_ev_per_atom": -1.512}

=====

Entry 6:
{"formula": "LaPrErTe3", "functional": "PBE-GGA", "state": "optimized geometry", "cell": [[4.544, 0.000, 0.000], [0.000, 8.684, -0.571], [0.000, -2.901, 10.128]], "species": ["Te", "Te", "Te", "Te", "Te", "Te", "Pr", "Pr", "Er", "Er", "La", "La"], "frac_coords": [[0.750, 0.451, 0.211], [0.250, 0.762, 0.523], [0.750, 0.900, 0.104], [0.750, 0.238, 0.477], [0.250, 0.100, 0.896], [0.250, 0.549, 0.789], [0.750, 0.358, 0.880], [0.250, 0.642, 0.120], [0.250, 0.139, 0.618], [0.750, 0.861, 0.382], [0.250, 0.182, 0.229], [0.750, 0.818, 0.771]], "vol_a3_per_atom": 32.68, "e_tot_ha_per_atom": -0.193, "spacegroup": "P2_1/m (11)", "magmom_total_mub_per_cell": 0.00, "mass_density_g_cm3": 7.03, "e_form_raw_ev_per_atom": -1.290}